# 1
SrAgGeAu | GGA-PBE | optimized geometry

Lattice parameters (Å, degrees): 5.0564 5.0564 5.0564 60.00 60.00 60.00
Closest atoms and distances in Å follow each position.
Positions (direct):
Ag (0.2500, 0.2500, 0.2500)  4 Sr 3.10, 4 Ge 3.10
Au (0.7500, 0.7500, 0.7500)  4 Sr 3.10, 4 Ge 3.10
Sr (0.5000, 0.5000, 0.5000)  4 Ag 3.10, 4 Au 3.10
Ge (0.0000, 0.0000, 0.0000)  4 Au 3.10, 4 Ag 3.10

Values from the calculation:
Total energy in eV per cell: -13.4
Space-group type: F-43m, No. 216
Density in Mg/m³: 8.4
Distance to the lowest polymorph of the same formula in meV per atom: 0.0
Crystal system: cubic

# 2
Pm2TlI2 | GGA-PBE | optimized geometry

Lattice parameters (Å, degrees): 12.4388 12.4388 12.4388 19.74 19.74 19.74
Closest atoms and distances in Å follow each position.
Positions (direct):
Pm (0.6114, 0.6114, 0.6114)  3 Tl 3.19, 3 I 3.19
Pm (0.3886, 0.3886, 0.3886)  3 Tl 3.19, 3 I 3.19
I (0.7773, 0.7773, 0.7773)  3 Pm 3.19
I (0.2227, 0.2227, 0.2227)  3 Pm 3.19
Tl (0.0000, 0.0000, 0.0000)  6 Pm 3.19

Values from the calculation:
Total energy in eV per cell: -19.7
Space-group type: R-3m, No. 166
Density in Mg/m³: 6.5
Size of the total moment in μB per formula unit: 0.0
Crystal system: trigonal